Record 1
PBE ScU2Cr2C4, relaxed; formation energy = -0.13 eV/atom; density of states at the Fermi level = 9.73 states/eV/cell
1.0
-3.0766 -0.5245 -0.1242
2.6452 -5.8957 -1.3534
-0.2763 0.2529 5.7766
C U Cr Sc
4 2 2 1
Direct
0.5416 0.0832 0.7494 C
0.7691 0.5382 0.7667 C
0.2309 0.4618 0.2333 C
0.4584 0.9168 0.2506 C
0.1249 0.2498 0.5346 U
0.8751 0.7502 0.4654 U
0.3192 0.6385 0.9872 Cr
0.6808 0.3615 0.0128 Cr
0.0000 0.0000 0.0000 Sc

---

Record 2
PBE BaTmTlGa, relaxed; formation energy = -0.23 eV/atom; density of states at the Fermi level = 3.70 states/eV/cell
1.0
5.5599 0.0000 0.0000
2.7799 4.8150 0.0000
2.7799 1.6050 4.5396
Tl Ba Ga Tm
1 1 1 1
Direct
0.7500 0.7500 0.7500 Tl
0.5000 0.5000 0.5000 Ba
0.2500 0.2500 0.2500 Ga
0.0000 0.0000 0.0000 Tm

---

Record 3
PBE AcSb2Au2, relaxed; density of states at the Fermi level = 3.59 states/eV/cell; ΔE to the lowest computed polymorph = 0.0 meV/atom
1.0
-2.7078 -2.7552 -2.6481
3.0915 -3.4526 0.4310
-4.4023 -2.5338 11.2796
Sb Au Ac
4 4 2
Direct
0.2500 0.7500 0.5000 Sb
0.7500 0.2500 0.5000 Sb
0.1045 0.2500 0.2091 Sb
0.8955 0.7500 0.7909 Sb
0.9628 0.2500 0.9255 Au
0.4635 0.7500 0.9270 Au
0.0372 0.7500 0.0745 Au
0.5365 0.2500 0.0730 Au
0.6430 0.7500 0.2860 Ac
0.3570 0.2500 0.7140 Ac